Entry 1:
## Th3InOs (GGA-PBE)

Data for an optimized crystal structure of Th3InOs.

## Properties
Density of states at the Fermi level (states/eV per cell): 19.583
SG: No. 62
Polymorph energy (0 for the lowest one) (meV/atom): 0
V (Å³/atom): 28.63

Unit cell a=4.9471 b=7.1745 c=16.1333 alpha=90.00 beta=90.00 gamma=90.00
Last column: nearest neighbours and their distance in Å.
Fractional positions:
Th: 0.2500 0.3654 0.5517  3 Os 2.89-3.06
Th: 0.7500 0.7609 0.2217  1 Os 2.89
Th: 0.7500 0.4968 0.9043  3 Os 2.81-3.09
Th: 0.7500 0.9968 0.5957  3 Os 2.81-3.09
Th: 0.7500 0.6346 0.4483  3 Os 2.89-3.06
Th: 0.2500 0.0032 0.4043  3 Os 2.81-3.09
Th: 0.2500 0.8654 0.9483  3 Os 2.89-3.06
Th: 0.7500 0.2609 0.2783  1 Os 2.89
Th: 0.2500 0.7391 0.7217  1 Os 2.89
Th: 0.2500 0.2391 0.7783  1 Os 2.89
Th: 0.7500 0.1346 0.0517  3 Os 2.89-3.06
Th: 0.2500 0.5032 0.0957  3 Os 2.81-3.09
In: 0.7500 0.9586 0.8181  8 Th 3.25-3.60
In: 0.2500 0.0414 0.1819  8 Th 3.25-3.60
In: 0.7500 0.4586 0.6819  8 Th 3.25-3.60
In: 0.2500 0.5414 0.3181  8 Th 3.25-3.60
Os: 0.2500 0.2673 0.9569  7 Th 2.81-3.09
Os: 0.2500 0.7673 0.5431  7 Th 2.81-3.09
Os: 0.7500 0.2327 0.4569  7 Th 2.81-3.09
Os: 0.7500 0.7327 0.0431  7 Th 2.81-3.09

***

Entry 2:
## Ac6Zn5Sb (GGA-PBE)

Data for an optimized crystal structure of Ac6Zn5Sb.

## Properties
Density of states at the Fermi level (states/eV per cell): 11.458
SG: No. 12
V (Å³/atom): 30.78
Formation energy without anion corrections (eV/atom): -0.351

Unit cell a=5.5962 b=9.6788 c=9.6788 alpha=120.22 beta=106.76 gamma=106.76
Last column: nearest neighbours and their distance in Å.
Fractional positions:
Sb: 0.0000 0.0000 0.0000  8 Ac 3.43-3.45
Ac: 0.2512 0.0831 0.4198  7 Zn 3.31-3.44, 1 Sb 3.45
Ac: 0.7488 0.5802 0.9169  7 Zn 3.31-3.44, 1 Sb 3.45
Ac: 0.7521 0.2523 0.2523  6 Zn 3.41-3.51, 2 Sb 3.43
Ac: 0.2479 0.7477 0.7477  6 Zn 3.41-3.51, 2 Sb 3.43
Ac: 0.2512 0.4198 0.0831  7 Zn 3.31-3.44, 1 Sb 3.45
Ac: 0.7488 0.9169 0.5802  7 Zn 3.31-3.44, 1 Sb 3.45
Zn: 0.5000 0.1722 0.8278  8 Ac 3.31-3.51
Zn: 0.0000 0.3336 0.6664  8 Ac 3.41-3.42
Zn: 0.5000 0.5000 0.5000  8 Ac 3.41-3.44
Zn: 0.0000 0.6664 0.3336  8 Ac 3.41-3.42
Zn: 0.5000 0.8278 0.1722  8 Ac 3.31-3.51

***

Entry 3:
## Ta4CdCl (GGA-PBE)

Data for an optimized crystal structure of Ta4CdCl.

## Properties
Density of states at the Fermi level (states/eV per cell): 3.503
SG: No. 216
V (Å³/atom): 20.56
Formation energy without anion corrections (eV/atom): 0.774

Unit cell a=5.5880 b=5.5880 c=5.5880 alpha=60.00 beta=60.00 gamma=60.00
Last column: nearest neighbours and their distance in Å.
Fractional positions:
Ta: 0.8691 0.3770 0.3770  6 Ta 2.75-2.84
Ta: 0.3770 0.3770 0.8691  6 Ta 2.75-2.84
Ta: 0.3770 0.8691 0.3770  6 Ta 2.75-2.84
Ta: 0.3770 0.3770 0.3770  6 Ta 2.75-2.84
Cd: 0.7500 0.7500 0.7500  12 Ta 3.27, 4 Cl 3.42
Cl: 0.0000 0.0000 0.0000  12 Ta 3.28, 4 Cd 3.42

***

Entry 4:
## Tb6ScPb10 (GGA-PBE)

Data for an optimized crystal structure of Tb6ScPb10.

## Properties
Density of states at the Fermi level (states/eV per cell): 10.849
VASP energy (eV/atom): -4.55
SG: No. 162
V (Å³/atom): 28.81

Unit cell a=6.4866 b=9.3375 c=9.3375 alpha=120.00 beta=90.00 gamma=90.00
Last column: nearest neighbours and their distance in Å.
Fractional positions:
Tb: 0.7408 0.3912 0.3912  8 Pb 3.22-3.35
Tb: 0.7408 0.0000 0.6088  8 Pb 3.22-3.35
Tb: 0.7408 0.6088 0.0000  8 Pb 3.22-3.35
Tb: 0.2592 0.6088 0.6088  8 Pb 3.22-3.35
Tb: 0.2592 0.0000 0.3912  8 Pb 3.22-3.35
Tb: 0.2592 0.3912 0.0000  8 Pb 3.22-3.35
Sc: 0.5000 0.0000 0.0000  6 Pb 3.00
Pb: 0.7890 0.7488 0.7488  1 Sc 3.00, 4 Tb 3.22-3.35
Pb: 0.7890 0.0000 0.2512  1 Sc 3.00, 4 Tb 3.22-3.35
Pb: 0.7890 0.2512 0.0000  1 Sc 3.00, 4 Tb 3.22-3.35
Pb: 0.2110 0.2512 0.2512  1 Sc 3.00, 4 Tb 3.22-3.35
Pb: 0.2110 0.0000 0.7488  1 Sc 3.00, 4 Tb 3.22-3.35
Pb: 0.2110 0.7488 0.0000  1 Sc 3.00, 4 Tb 3.22-3.35
Pb: 0.5000 0.3333 0.6667  2 Pb 3.24, 6 Tb 3.28
Pb: 0.5000 0.6667 0.3333  2 Pb 3.24, 6 Tb 3.28
Pb: 0.0000 0.6667 0.3333  2 Pb 3.24, 6 Tb 3.34
Pb: 0.0000 0.3333 0.6667  2 Pb 3.24, 6 Tb 3.34